## Y2OsPbC (PBE-GGA)

Data for a geometry-optimized Y2OsPbC structure.

```
Y2OsPbC
1.0
5.0750 0.0000 0.0000
0.0000 5.0750 0.0000
0.0000 0.0000 3.9862
Y Os Pb C
2 1 1 1
direct
0.0000 0.5000 0.0000 Y
0.5000 0.0000 0.0000 Y
0.0000 0.0000 0.5000 Os
0.5000 0.5000 0.5000 Pb
0.0000 0.0000 0.0000 C
```

The value obtained for the volume is 103 Å³/cell. The calculated formation energy comes out at -8.1 kcal/mol of atoms. The space-group type is No. 123. The total energy comes out at -38.9 eV for the cell shown.

***

## Sc4HgI8 (PBE-GGA)

Data for a geometry-optimized Sc4HgI8 structure.

```
Sc4HgI8
1.0
10.4459 -2.0207 0.0000
10.4459 2.0207 0.0000
-9.6559 0.0000 10.8549
Sc Hg I
4 1 8
direct
0.1740 0.1740 0.4851 Sc
0.3173 0.3173 0.1378 Sc
0.6827 0.6827 0.8622 Sc
0.8260 0.8260 0.5149 Sc
0.0000 0.0000 0.0000 Hg
0.0459 0.0459 0.7322 I
0.3112 0.3112 0.9330 I
0.3566 0.3566 0.4003 I
0.3575 0.3575 0.6893 I
0.6425 0.6425 0.3107 I
0.6434 0.6434 0.5997 I
0.6888 0.6888 0.0670 I
0.9541 0.9541 0.2678 I
```

The value obtained for the volume is 458 Å³/cell. The formation energy without anion corrections comes out at -971 meV per atom. The space-group type is No. 12. The total energy comes out at -50.6 eV for the cell shown.

***

## CaLa3Y6Er2 (PBE-GGA)

Data for a geometry-optimized CaLa3Y6Er2 structure.

```
CaLa3Y6Er2
1.0
3.1509 -5.4587 0.0000
3.1509 5.4587 0.0000
-2.1032 0.0000 11.7791
Ca La Y Er
1 3 6 2
direct
0.0000 0.0000 0.0000 Ca
0.1654 0.8346 0.5000 La
0.5000 0.5000 0.5000 La
0.8346 0.1654 0.5000 La
0.0822 0.4212 0.2475 Y
0.2569 0.2569 0.7528 Y
0.4212 0.0822 0.2475 Y
0.5788 0.9178 0.7525 Y
0.7431 0.7431 0.2472 Y
0.9178 0.5788 0.7525 Y
0.3334 0.6666 0.0000 Er
0.6666 0.3334 0.0000 Er
```

The value obtained for the volume is 405 Å³/cell. The calculated formation energy comes out at 1.3 kcal/mol of atoms. The space-group type is No. 12. The total energy comes out at -64.0 eV for the cell shown.

***

## Pr2Er2Pd15 (PBE-GGA)

Data for a geometry-optimized Pr2Er2Pd15 structure.

```
Pr2Er2Pd15
1.0
4.6296 2.6729 4.7212
-4.6296 2.6729 4.7212
0.0000 -5.3458 4.7212
Pr Er Pd
2 2 15
direct
0.1412 0.1412 0.1412 Pr
0.8588 0.8588 0.8588 Pr
0.3922 0.3922 0.3922 Er
0.6078 0.6078 0.6078 Er
0.0000 0.5000 0.5000 Pd
0.1507 0.1507 0.6572 Pd
0.1507 0.6572 0.1507 Pd
0.1965 0.5000 0.8035 Pd
0.1965 0.8035 0.5000 Pd
0.3428 0.8493 0.8493 Pd
0.5000 0.0000 0.5000 Pd
0.5000 0.1965 0.8035 Pd
0.5000 0.5000 0.0000 Pd
0.5000 0.8035 0.1965 Pd
0.6572 0.1507 0.1507 Pd
0.8035 0.1965 0.5000 Pd
0.8035 0.5000 0.1965 Pd
0.8493 0.3428 0.8493 Pd
0.8493 0.8493 0.3428 Pd
```

The value obtained for the volume is 351 Å³/cell. The calculated formation energy comes out at -13.4 kcal/mol of atoms. The space-group type is No. 166. The total energy comes out at -107.6 eV for the cell shown.

***

## CuSiB (PBE-GGA)

Data for a geometry-optimized CuSiB structure.

```
CuSiB
1.0
3.0353 -1.7373 0.0000
3.0353 1.7373 0.0000
-1.1181 0.0000 7.4326
Cu Si B
2 2 2
direct
0.0000 0.0000 0.0000 Cu
0.7061 0.7061 0.2087 Cu
0.4098 0.4098 0.3889 Si
0.4560 0.4560 0.7145 Si
0.3580 0.3580 0.1116 B
0.7921 0.7921 0.7405 B
```

The value obtained for the volume is 78 Å³/cell. The formation energy without anion corrections comes out at 469 meV per atom. The space-group type is No. 8. The total energy comes out at -29.6 eV for the cell shown.

***

## BeTl3Si (PBE-GGA)

Data for a geometry-optimized BeTl3Si structure.

```
BeTl3Si
1.0
5.0237 0.0000 0.0000
0.0000 5.0237 0.0000
0.0000 0.0000 5.0237
Be Tl Si
1 3 1
direct
0.0000 0.0000 0.0000 Be
0.0000 0.0000 0.5000 Tl
0.0000 0.5000 0.0000 Tl
0.5000 0.0000 0.0000 Tl
0.5000 0.5000 0.5000 Si
```

The value obtained for the volume is 127 Å³/cell. The formation energy without anion corrections comes out at 670 meV per atom. The space-group type is No. 221. The total energy comes out at -12.9 eV for the cell shown. As for the energy above the most stable polymorph in this dataset: 0.0 meV per atom.

***

## Ni2PCl (PBE-GGA)

Data for a geometry-optimized Ni2PCl structure.

```
Ni2PCl
1.0
2.9505 0.0000 0.0000
0.0000 2.9505 0.0000
0.0000 0.0000 6.2665
Ni P Cl
2 1 1
direct
0.0000 0.0000 0.1951 Ni
0.0000 0.0000 0.8049 Ni
0.5000 0.5000 0.0000 P
0.5000 0.5000 0.5000 Cl
```

The value obtained for the volume is 55 Å³/cell. The formation energy without anion corrections comes out at 45 meV per atom. The space-group type is No. 123. The total energy comes out at -18.6 eV for the cell shown. As for the energy above the most stable polymorph in this dataset: 364.6 meV per atom.

***

## PmTl5Te4 (PBE-GGA)

Data for a geometry-optimized PmTl5Te4 structure.

```
PmTl5Te4
1.0
9.9966 -2.3418 0.0000
9.9966 2.3418 0.0000
-3.8579 0.0000 8.1772
Pm Tl Te
1 5 4
direct
0.0000 0.0000 0.0000 Pm
0.0000 0.0000 0.5000 Tl
0.2948 0.2948 0.9204 Tl
0.3529 0.3529 0.4998 Tl
0.6471 0.6471 0.5002 Tl
0.7052 0.7052 0.0796 Tl
0.1652 0.1652 0.2756 Te
0.4601 0.4601 0.1906 Te
0.5399 0.5399 0.8094 Te
0.8348 0.8348 0.7244 Te
```

The value obtained for the volume is 383 Å³/cell. The formation energy without anion corrections comes out at -580 meV per atom. The space-group type is No. 12. The total energy comes out at -35.0 eV for the cell shown.

***

## TiIn2WS (PBE-GGA)

Data for a geometry-optimized TiIn2WS structure.

```
TiIn2WS
1.0
5.2915 0.0000 0.0000
0.0000 5.2915 0.0000
0.0000 0.0000 4.3379
Ti In W S
1 2 1 1
direct
0.0000 0.0000 0.0000 Ti
0.0000 0.5000 0.0000 In
0.5000 0.0000 0.0000 In
0.5000 0.5000 0.5000 W
0.0000 0.0000 0.5000 S
```

The value obtained for the volume is 121 Å³/cell. The formation energy without anion corrections comes out at 1275 meV per atom. The space-group type is No. 123. The total energy comes out at -24.1 eV for the cell shown.

***

## AcGaAgAu (PBE-GGA)

Data for a geometry-optimized AcGaAgAu structure.

```
AcGaAgAu
1.0
0.0000 3.6624 3.6624
3.6624 0.0000 3.6624
3.6624 3.6624 0.0000
Ac Ga Ag Au
1 1 1 1
direct
0.0000 0.0000 0.0000 Ac
0.5000 0.5000 0.5000 Ga
0.7500 0.7500 0.7500 Ag
0.2500 0.2500 0.2500 Au
```

The value obtained for the volume is 98 Å³/cell. The calculated formation energy comes out at -8.9 kcal/mol of atoms. The space-group type is No. 216. The total energy comes out at -14.8 eV for the cell shown.

***

## LiCa2Pu (PBE-GGA)

Data for a geometry-optimized LiCa2Pu structure.

```
LiCa2Pu
1.0
1.7585 1.0153 12.4365
-1.7585 1.0153 12.4365
0.0000 -2.0306 12.4365
Li Ca Pu
1 2 1
direct
0.0000 0.0000 0.0000 Li
0.4096 0.4096 0.4096 Ca
0.5904 0.5904 0.5904 Ca
0.5000 0.5000 0.5000 Pu
```

The value obtained for the volume is 133 Å³/cell. The calculated formation energy comes out at 8.2 kcal/mol of atoms. The space-group type is No. 166. The total energy comes out at -18.8 eV for the cell shown. As for the energy above the most stable polymorph in this dataset: 142.3 meV per atom.

***

## AcP2PdRh (PBE-GGA)

Data for a geometry-optimized AcP2PdRh structure.

```
AcP2PdRh
1.0
-2.1456 2.1456 4.9711
2.1456 -2.1456 4.9711
2.1456 2.1456 -4.9711
Ac P Pd Rh
1 2 1 1
direct
0.0000 0.0000 0.0000 Ac
0.3806 0.3806 0.0000 P
0.6194 0.6194 0.0000 P
0.7500 0.2500 0.5000 Pd
0.2500 0.7500 0.5000 Rh
```

The value obtained for the volume is 92 Å³/cell. The calculated formation energy comes out at -21.1 kcal/mol of atoms. The space-group type is No. 119. The total energy comes out at -32.1 eV for the cell shown.

***

Question: What is the volume in the eleventh record?
Answer: 133 Å³/cell

***

Question: Among the records above, which one has the lowest volume?
Answer: Ni2PCl